Record 1
{
  "formula": "SrTbEr4S8",
  "functional": "PBE-GGA",
  "state": "optimized geometry",
  "lattice": [[8.1012, 0.0000, 0.0000], [4.0506, 7.0159, 0.0000], [4.0506, 2.3386, 6.6493]],
  "species": ["Sr", "Tb", "Er", "Er", "Er", "Er", "S", "S", "S", "S", "S", "S", "S", "S"],
  "frac_coords": [[0.3743, 0.3743, 0.8771], [0.0020, 0.0020, 0.9941], [0.6251, 0.6251, 0.1246], [0.0018, 0.4944, 0.5020], [0.4944, 0.0018, 0.5020], [0.0018, 0.0018, 0.5020], [0.2378, 0.7928, 0.7317], [0.7928, 0.2378, 0.7317], [0.2378, 0.2378, 0.7317], [0.2351, 0.2351, 0.2946], [0.7554, 0.2287, 0.2605], [0.2287, 0.7554, 0.2605], [0.7554, 0.7554, 0.2605], [0.7576, 0.7576, 0.7272]],
  "n_ef_per_ev_cell": 3.5,
  "magmom_total_mub_per_atom": 0.00,
  "sg": "R3m",
  "final_energy_ev_per_atom": -6.100
}

Record 2
{
  "formula": "SrTbEr2S4",
  "functional": "PBE-GGA",
  "state": "optimized geometry",
  "lattice": [[3.9421, 0.0000, 0.0000], [0.0000, 6.8852, -0.1630], [0.0000, 2.3984, 6.4476]],
  "species": ["Sr", "Tb", "Er", "Er", "S", "S", "S", "S"],
  "frac_coords": [[0.5000, 0.5000, 0.0000], [0.0000, 0.5000, 0.5000], [0.0000, 0.0000, 0.0000], [0.5000, 0.0000, 0.5000], [0.0000, 0.7669, 0.7374], [0.0000, 0.2331, 0.2626], [0.5000, 0.7610, 0.2526], [0.5000, 0.2390, 0.7474]],
  "n_ef_per_ev_cell": 2.6,
  "magmom_total_mub_per_atom": 0.00,
  "sg": "P2/m",
  "final_energy_ev_per_atom": -5.973
}

Record 3
{
  "formula": "Sr3Er3TmS8",
  "functional": "PBE-GGA",
  "state": "optimized geometry",
  "lattice": [[-3.1838, 4.4812, -5.7161], [-4.6770, -4.3701, 4.6758], [3.6711, 6.6484, 3.1694]],
  "species": ["Sr", "Sr", "Sr", "Er", "Er", "Er", "Tm", "S", "S", "S", "S", "S", "S", "S", "S"],
  "frac_coords": [[0.0000, 0.0000, 0.0000], [0.0000, 0.5000, 0.0000], [0.5000, 0.5000, 0.0000], [0.5000, 0.0000, 0.5000], [0.5000, 0.5000, 0.5000], [0.0000, 0.5000, 0.5000], [0.0000, 0.0000, 0.5000], [0.2579, 0.5160, 0.2740], [0.7421, 0.4840, 0.7260], [0.7607, 0.5214, 0.2795], [0.2393, 0.4786, 0.7205], [0.7605, 0.0189, 0.2793], [0.2395, 0.9811, 0.7207], [0.2581, 0.0188, 0.2794], [0.7419, 0.9812, 0.7206]],
  "n_ef_per_ev_cell": 3.1,
  "magmom_total_mub_per_atom": 0.00,
  "sg": "R-3m",
  "final_energy_ev_per_atom": -5.830
}